(1)
A PBEsol-optimized structure of AgSbMo2. Source: the Alexandria database, functional meta-GGA SCAN.

Summary:
Uncorrected formation energy ... 2.76 eV/f.u.
Magnetic moment ... 0.000 Bohr magnetons per cell
DOS(E_F) ... 3.8 states/eV/f.u.
E_tot ... -406.90 eV/cell

a b c (Å): 2.9728 2.9728 26.9264
angles (deg): 90.00 90.00 120.00
Last column: nearest neighbours and their distance in Å.
Space group R-3m (No. 166, hexagonal axes)
One atom of each set of equivalent atoms:
Ag 0.0000 0.0000 0.0000  6 Mo 2.87, 6 Ag 2.97
Sb 0.0000 0.0000 0.5000  6 Mo 2.78, 6 Sb 2.97
Mo 0.0000 0.0000 0.2481  3 Sb 2.78, 3 Ag 2.87, 6 Mo 2.97

(2)
A PBEsol-optimized structure of AgSb2Mo. Source: the Alexandria database, functional meta-GGA SCAN.

Summary:
Uncorrected formation energy ... 1.54 eV/f.u.
Magnetic moment ... 0.000 Bohr magnetons per cell
DOS(E_F) ... 2.8 states/eV/f.u.
Polymorph energy (0 for the lowest one) ... 15.84 kJ per mole of atoms
E_tot ... -278.47 eV/cell

a b c (Å): 8.8922 3.3028 5.5560
angles (deg): 90.00 100.42 90.00
Last column: nearest neighbours and their distance in Å.
Space group C2/m (No. 12)
One atom of each set of equivalent atoms:
Ag 0.0000 0.0000 0.0000  6 Sb 2.80-3.07
Sb 0.2333 0.0000 0.7230  3 Mo 2.76-2.87, 3 Ag 2.80-3.07, 2 Sb 3.04
Mo 0.0000 0.5000 0.5000  6 Sb 2.76-2.87

(3)
A PBEsol-optimized structure of AgSb2Mo. Source: the Alexandria database, functional meta-GGA SCAN.

Summary:
Uncorrected formation energy ... 0.88 eV/f.u.
Magnetic moment ... 0.000 Bohr magnetons per cell
DOS(E_F) ... 2.1 states/eV/f.u.
Polymorph energy (0 for the lowest one) ... 0.00 kJ per mole of atoms
E_tot ... -139.89 eV/cell

a b c (Å): 3.4427 3.4427 6.6008
angles (deg): 90.00 90.00 90.00
Last column: nearest neighbours and their distance in Å.
Space group P4/mmm (No. 123)
One atom of each set of equivalent atoms:
Ag 0.0000 0.0000 0.0000  8 Sb 3.02, 2 Mo 3.30
Sb 0.5000 0.5000 0.2705  4 Mo 2.87, 4 Ag 3.02, 1 Sb 3.03
Mo 0.0000 0.0000 0.5000  8 Sb 2.87

(4)
A PBEsol-optimized structure of AgSbTe2Mo. Source: the Alexandria database, functional meta-GGA SCAN.

Summary:
Uncorrected formation energy ... 3.37 eV/f.u.
Magnetic moment ... 0.000 Bohr magnetons per cell
DOS(E_F) ... 4.7 states/eV/f.u.
E_tot ... -174.64 eV/cell

a b c (Å): 5.1999 5.1999 5.2018
angles (deg): 90.00 90.00 90.00
Last column: nearest neighbours and their distance in Å.
Space group P4/mmm (No. 123)
One atom of each set of equivalent atoms:
Ag 0.0000 0.0000 0.0000  4 Sb 3.68, 8 Te 3.68
Sb 0.5000 0.5000 0.0000  2 Mo 2.60
Te 0.0000 0.5000 0.5000  2 Mo 2.60
Mo 0.5000 0.5000 0.5000  4 Te 2.60, 2 Sb 2.60

(5)
A PBEsol-optimized structure of Sc2AgMo. Source: the Alexandria database, functional meta-GGA SCAN.

Summary:
Magnetic moment ... 0.017 Bohr magnetons per cell
DOS(E_F) ... 4.3 states/eV/f.u.
Polymorph energy (0 for the lowest one) ... 0.00 kJ per mole of atoms
E_tot ... -94.92 eV/cell
Formation enthalpy at 0 K ... -50 meV/atom

a b c (Å): 3.2833 3.2833 6.8031
angles (deg): 90.00 90.00 90.00
Last column: nearest neighbours and their distance in Å.
Space group P4/mmm (No. 123)
One atom of each set of equivalent atoms:
Sc 0.0000 0.0000 0.2327  4 Mo 2.81, 4 Ag 2.95
Ag 0.5000 0.5000 0.5000  8 Sc 2.95, 4 Ag 3.28
Mo 0.5000 0.5000 0.0000  8 Sc 2.81

(6)
A PBEsol-optimized structure of Sc2AgMo. Source: the Alexandria database, functional meta-GGA SCAN.

Summary:
Magnetic moment ... 0.000 Bohr magnetons per cell
DOS(E_F) ... 2.8 states/eV/f.u.
Polymorph energy (0 for the lowest one) ... 22.31 kJ per mole of atoms
E_tot ... -94.00 eV/cell
Formation enthalpy at 0 K ... 182 meV/atom

a b c (Å): 2.9355 4.4115 5.7431
angles (deg): 90.00 90.00 90.00
Last column: nearest neighbours and their distance in Å.
Space group Pmm2 (No. 25)
One atom of each set of equivalent atoms:
Sc 0.0000 0.0000 0.0000  2 Ag 2.74-3.00, 4 Mo 2.84, 2 Sc 2.94
Sc 0.5000 0.5000 0.3164  2 Mo 2.84-2.90, 4 Ag 2.90, 2 Sc 2.94
Ag 0.0000 0.0000 0.5222  6 Sc 2.74-3.00, 2 Ag 2.94
Mo 0.5000 0.5000 0.8216  6 Sc 2.84-2.90, 2 Mo 2.94, 4 Ag 3.16

(7)
A PBEsol-optimized structure of Sc2AgMo. Source: the Alexandria database, functional meta-GGA SCAN.

Summary:
Magnetic moment ... 0.000 Bohr magnetons per cell
DOS(E_F) ... 3.4 states/eV/f.u.
Polymorph energy (0 for the lowest one) ... 25.76 kJ per mole of atoms
E_tot ... -187.71 eV/cell
Formation enthalpy at 0 K ... 217 meV/atom

a b c (Å): 4.0375 4.0538 9.0951
angles (deg): 90.00 90.00 90.00
Last column: nearest neighbours and their distance in Å.
Space group Cmm2 (No. 35)
One atom of each set of equivalent atoms:
Sc 0.0000 0.0000 0.0000  4 Sc 2.86, 4 Mo 2.94
Sc 0.0000 0.5000 0.3007  4 Sc 2.86, 4 Ag 2.95-2.96
Ag 0.0000 0.0000 0.5374  4 Ag 2.86, 4 Mo 2.90, 4 Sc 2.95-2.96
Mo 0.0000 0.5000 0.7656  4 Mo 2.86, 4 Ag 2.90, 4 Sc 2.94

(8)
A PBEsol-optimized structure of AgMoSe2. Source: the Alexandria database, functional meta-GGA SCAN.

Summary:
Uncorrected formation energy ... 2.13 eV/f.u.
Magnetic moment ... 0.000 Bohr magnetons per cell
DOS(E_F) ... 2.7 states/eV/f.u.
Polymorph energy (0 for the lowest one) ... 16.55 kJ per mole of atoms
E_tot ... -312.84 eV/cell

a b c (Å): 2.8026 2.8026 32.9726
angles (deg): 90.00 90.00 120.00
Last column: nearest neighbours and their distance in Å.
Space group R-3m (No. 166, hexagonal axes)
One atom of each set of equivalent atoms:
Ag 0.0000 0.0000 0.0000  6 Ag 2.80
Mo 0.0000 0.0000 0.5000  2 Se 2.55, 6 Mo 2.80
Se 0.0000 0.0000 0.4226  1 Mo 2.55, 6 Se 2.80

(9)
A PBEsol-optimized structure of AgMo2Se. Source: the Alexandria database, functional meta-GGA SCAN.

Summary:
Uncorrected formation energy ... 1.93 eV/f.u.
Magnetic moment ... 0.000 Bohr magnetons per cell
DOS(E_F) ... 2.5 states/eV/f.u.
E_tot ... -238.58 eV/cell

a b c (Å): 9.0085 3.1017 4.8803
angles (deg): 90.00 100.91 90.00
Last column: nearest neighbours and their distance in Å.
Space group Cm (No. 8)
One atom of each set of equivalent atoms:
Ag 0.0000 0.0000 0.0000  3 Se 2.72-3.03, 7 Mo 2.81-2.99
Mo 0.0260 0.5000 0.5307  3 Mo 2.53-2.81, 3 Se 2.69-2.81, 2 Ag 2.81
Mo 0.2463 0.0000 0.7041  3 Mo 2.53-2.81, 2 Se 2.57
Se 0.2732 0.5000 0.2967  5 Mo 2.57-2.81, 1 Ag 2.72

(10)
A PBEsol-optimized structure of Ag2MoSe. Source: the Alexandria database, functional meta-GGA SCAN.

Summary:
Uncorrected formation energy ... 0.72 eV/f.u.
Magnetic moment ... 0.000 Bohr magnetons per cell
DOS(E_F) ... 2.6 states/eV/f.u.
E_tot ... -116.98 eV/cell

a b c (Å): 3.0877 3.0877 7.0125
angles (deg): 90.00 90.00 90.00
Last column: nearest neighbours and their distance in Å.
Space group P4mm (No. 99)
One atom of each set of equivalent atoms:
Ag 0.0000 0.0000 0.0000  8 Ag 2.80-3.09, 4 Se 3.01
Ag 0.5000 0.5000 0.2498  8 Ag 2.80-3.09, 4 Mo 2.87
Mo 0.0000 0.0000 0.5150  4 Se 2.56
Se 0.5000 0.5000 0.7050  4 Mo 2.56

(11)
A PBEsol-optimized structure of Ag2MoSe. Source: the Alexandria database, functional meta-GGA SCAN.

Summary:
Uncorrected formation energy ... 2.29 eV/f.u.
Magnetic moment ... 0.002 Bohr magnetons per cell
DOS(E_F) ... 3.0 states/eV/f.u.
E_tot ... -115.41 eV/cell

a b c (Å): 2.7119 4.6500 5.3306
angles (deg): 90.00 90.00 90.00
Last column: nearest neighbours and their distance in Å.
Space group Pmmm (No. 47)
One atom of each set of equivalent atoms:
Ag 0.0000 0.0000 0.2420  4 Ag 2.58-2.75
Mo 0.5000 0.5000 0.0000  2 Se 2.67, 2 Mo 2.71, 8 Ag 2.98
Se 0.5000 0.5000 0.5000  2 Mo 2.67, 2 Se 2.71

(12)
A PBEsol-optimized structure of AgMo2Se. Source: the Alexandria database, functional meta-GGA SCAN.

Summary:
Uncorrected formation energy ... 2.92 eV/f.u.
Magnetic moment ... 0.000 Bohr magnetons per cell
DOS(E_F) ... 3.0 states/eV/f.u.
E_tot ... -236.58 eV/cell

a b c (Å): 3.1246 4.5672 8.9905
angles (deg): 90.00 90.00 90.00
Last column: nearest neighbours and their distance in Å.
Space group Cmmm (No. 65)
One atom of each set of equivalent atoms:
Ag 0.0000 0.0000 0.0000  4 Ag 2.77, 4 Mo 2.84
Mo 0.0000 0.5000 0.2639  2 Se 2.64, 4 Mo 2.77, 2 Ag 2.84
Se 0.0000 0.0000 0.5000  4 Mo 2.64, 4 Se 2.77

(13)
A PBEsol-optimized structure of Ag2MoSe. Source: the Alexandria database, functional meta-GGA SCAN.

Summary:
Uncorrected formation energy ... 1.90 eV/f.u.
Magnetic moment ... 0.000 Bohr magnetons per cell
DOS(E_F) ... 1.7 states/eV/f.u.
E_tot ... -231.60 eV/cell

a b c (Å): 3.0127 4.3798 9.9500
angles (deg): 90.00 90.00 90.00
Last column: nearest neighbours and their distance in Å.
Space group Immm (No. 71)
One atom of each set of equivalent atoms:
Ag 0.0000 0.0000 0.2395  4 Ag 2.67, 2 Se 2.82
Mo 0.0000 0.5000 0.0000  4 Se 2.66
Se 0.0000 0.5000 0.5000  4 Mo 2.66, 4 Ag 2.82

(14)
A PBEsol-optimized structure of AgMo2Se. Source: the Alexandria database, functional meta-GGA SCAN.

Summary:
Uncorrected formation energy ... 1.38 eV/f.u.
Magnetic moment ... 0.000 Bohr magnetons per cell
DOS(E_F) ... 2.6 states/eV/f.u.
E_tot ... -239.68 eV/cell

a b c (Å): 3.1776 4.5920 9.2275
angles (deg): 90.00 90.00 90.00
Last column: nearest neighbours and their distance in Å.
Space group Cmm2 (No. 35)
One atom of each set of equivalent atoms:
Ag 0.0000 0.0000 0.0000  4 Ag 2.79, 2 Mo 2.83, 2 Se 3.12
Mo 0.0000 0.0000 0.4734  6 Mo 2.58-2.79, 2 Se 2.70
Mo 0.0000 0.5000 0.2536  6 Mo 2.58-2.79, 2 Ag 2.83
Se 0.0000 0.5000 0.7094  2 Mo 2.70, 4 Se 2.79

(15)
A PBEsol-optimized structure of AgMo2Se. Source: the Alexandria database, functional meta-GGA SCAN.

Summary:
Uncorrected formation energy ... 2.80 eV/f.u.
Magnetic moment ... 0.000 Bohr magnetons per cell
DOS(E_F) ... 2.6 states/eV/f.u.
E_tot ... -236.83 eV/cell

a b c (Å): 5.3990 8.6130 2.8616
angles (deg): 90.00 106.98 90.00
Last column: nearest neighbours and their distance in Å.
Space group C2/m (No. 12)
One atom of each set of equivalent atoms:
Ag 0.0000 0.0000 0.0000  2 Se 2.70, 4 Mo 2.72, 2 Ag 2.86
Mo 0.2500 0.2500 0.5000  4 Mo 2.70-2.86, 2 Se 2.72, 2 Ag 2.72
Se 0.0000 0.5000 0.0000  2 Ag 2.70, 4 Mo 2.72, 2 Se 2.86